# 1
First-principles (PBE) data for AgC after structural relaxation, as listed in Alexandria.

Cell: 3.2752 3.2752 2.8326 Å, 90.00 90.00 120.00°
Last column: nearest neighbours and their distance in Å.
Fractional coordinates of all 2 atoms:
Ag  0.0000  0.0000  0.0000  6 C 2.36
C  0.6667  0.3333  0.5000  6 Ag 2.36

The total energy is -7.5 eV/cell. The calculated volume is 13.2 Å³/atom. The distance to the lowest polymorph of the same formula is 1.8762 eV per atom. For the energy relative to the elements, the calculation gives 2281 meV per atom.

=====

# 2
First-principles (PBE) data for Ca3AgC after structural relaxation, as listed in Alexandria.

Cell: 5.0620 5.0620 5.0620 Å, 90.00 90.00 90.00°
Last column: nearest neighbours and their distance in Å.
Fractional coordinates of all 5 atoms:
Ca  0.0000  0.5000  0.0000  2 C 2.53
Ca  0.0000  0.0000  0.5000  2 C 2.53
Ca  0.5000  0.0000  0.0000  2 C 2.53
C  0.0000  0.0000  0.0000  6 Ca 2.53
Ag  0.5000  0.5000  0.5000  12 Ca 3.58

The total energy is -17.8 eV/cell. The calculated volume is 25.9 Å³/atom. The distance to the lowest polymorph of the same formula is 0.1620 eV per atom. For the energy relative to the elements, the calculation gives 58 meV per atom.

=====

# 3
First-principles (PBE) data for CaAg3C after structural relaxation, as listed in Alexandria.

Cell: 4.4757 4.4757 4.4757 Å, 90.00 90.00 90.00°
Last column: nearest neighbours and their distance in Å.
Fractional coordinates of all 5 atoms:
C  0.0000  0.0000  0.0000  6 Ag 2.24
Ag  0.5000  0.0000  0.0000  2 C 2.24
Ag  0.0000  0.5000  0.0000  2 C 2.24
Ag  0.0000  0.0000  0.5000  2 C 2.24
Ca  0.5000  0.5000  0.5000  12 Ag 3.16

The total energy is -17.5 eV/cell. The calculated volume is 17.9 Å³/atom. The distance to the lowest polymorph of the same formula is 0.0000 eV per atom. For the energy relative to the elements, the calculation gives 460 meV per atom.

=====

# 4
First-principles (PBE) data for CaAgC after structural relaxation, as listed in Alexandria.

Cell: 3.9467 4.7986 6.8921 Å, 103.11 90.00 114.28°
Last column: nearest neighbours and their distance in Å.
Fractional coordinates of all 6 atoms:
Ag  0.6377  0.2754  0.4388  1 C 2.60, 3 Ag 2.74-2.76
Ag  0.3623  0.7246  0.5612  1 C 2.60, 3 Ag 2.74-2.76
C  0.5734  0.1467  0.0503  1 C 1.30
C  0.4266  0.8533  0.9497  1 C 1.30
Ca  0.1151  0.2303  0.8047  5 C 2.66-2.90
Ca  0.8849  0.7697  0.1953  5 C 2.66-2.90

The total energy is -28.4 eV/cell. The calculated volume is 19.2 Å³/atom. For the energy relative to the elements, the calculation gives -34 meV per atom.